1.
DFT (GGA-PBE) results for an optimized crystal structure of Li2Be2Zn.

Properties
DFT total energy	-11.51	eV per formula unit
formation enthalpy at 0 K	210	meV/atom
ρ	2.74	g/cm³

Lattice parameters (Å, degrees): 6.4079 6.4079 2.8714 90.00 90.00 90.00
Space group P4/mbm (No. 127)
Asymmetric unit:
Li1 0.1689 0.3311 0.0000 [4 per cell]
Be1 0.1241 0.6241 0.5000 [4 per cell]
Zn1 0.0000 0.0000 0.5000 [2 per cell]

---

2.
DFT (GGA-PBE) results for an optimized crystal structure of PbCF2.

Properties
DFT total energy	-14.80	eV per formula unit
relative energy among the computed polymorphs	392	meV/atom
ρ	6.35	g/cm³
raw formation energy	469	meV/atom

Lattice parameters (Å, degrees): 3.4149 3.4149 19.9724 90.00 90.00 120.00
Space group R-3m (No. 166, hexagonal axes)
Asymmetric unit:
Pb1 0.0000 0.0000 0.0000 [3 per cell]
C1 0.0000 0.0000 0.5000 [3 per cell]
F1 0.0000 0.0000 0.1226 [6 per cell]

---

3.
DFT (GGA-PBE) results for an optimized crystal structure of Dy2Ho4Th.

Properties
DFT total energy	-34.80	eV per formula unit
formation enthalpy at 0 K	20	meV/atom
relative energy among the computed polymorphs	0	meV/atom
ρ	9.14	g/cm³

Lattice parameters (Å, degrees): 6.1951 3.5780 20.0493 90.00 95.95 90.00
Space group Cm (No. 8)
Asymmetric unit:
Dy1 0.0000 0.0000 0.0000 [2 per cell]
Dy2 0.0939 0.0000 0.2839 [2 per cell]
Ho1 0.2864 0.0000 0.8580 [2 per cell]
Ho2 0.3084 0.5000 0.4267 [2 per cell]
Ho3 0.3807 0.0000 0.1416 [2 per cell]
Ho4 0.4049 0.5000 0.7164 [2 per cell]
Th1 0.1899 0.0000 0.5718 [2 per cell]

---

4.
DFT (GGA-PBE) results for an optimized crystal structure of BeAl3Re.

Properties
DFT total energy	-23.23	eV per formula unit
formation enthalpy at 0 K	833	meV/atom
relative energy among the computed polymorphs	0	meV/atom
ρ	4.25	g/cm³

Lattice parameters (Å, degrees): 4.7611 4.7611 4.7611 90.00 90.00 90.00
Space group Pm-3m (No. 221)
Asymmetric unit:
Be1 0.0000 0.0000 0.0000 [1 per cell]
Al1 0.0000 0.5000 0.5000 [3 per cell]
Re1 0.5000 0.5000 0.5000 [1 per cell]